1.
This record from the Alexandria database describes a relaxed AgMoRu2 crystal. The functional is PBE-GGA.

The structure in POSCAR format:
```
AgMoRu2
1.0
-2.229 -1.910 -2.700
-0.846 -1.766 1.948
-5.140 1.581 3.124
Ag Mo Ru
1 1 2
Direct
0.000 0.504 0.496
0.500 0.722 0.778
0.000 0.997 0.003
0.500 0.277 0.224
```

## Properties
calculated formation energy = 0.35 eV/atom
raw total energy = -7.71 eV per atom
space group = Pmm2, No. 25
M_tot = 0.000 μB per atom
offset from the most stable computed form = 149 meV per atom

***

2.
This record from the Alexandria database describes a relaxed KZn2P crystal. The functional is PBE-GGA.

The structure in POSCAR format:
```
KZn2P
1.0
4.928 0.000 0.000
2.464 4.268 0.000
2.464 1.423 4.024
K P Zn
1 1 2
Direct
0.500 0.500 0.500
0.750 0.750 0.750
0.000 0.000 0.000
0.250 0.250 0.250
```

## Properties
calculated formation energy = 0.29 eV/atom
raw total energy = -1.98 eV per atom
space group = F-43m, No. 216
M_tot = 0.000 μB per atom

***

Density of states at the Fermi level per entry: 4.4 0.6 states/eV/cell